A relaxed Tb2Dy3Se8 crystal, computed with PBE-GGA.

Unit cell a=8.2523 b=8.2523 c=6.9917 alpha=106.86 beta=106.86 gamma=59.76
Last column: nearest neighbours and their distance in Å.
Sites, in units of the cell vectors:
Tb 0.2420 0.2420 0.1621  6 Se 2.84-2.93
Tb 0.7580 0.7580 0.8379  6 Se 2.84-2.93
Dy 0.2386 0.7614 0.5000  6 Se 2.81-2.89
Dy 0.5000 0.5000 0.0000  6 Se 2.83-2.88
Dy 0.7614 0.2386 0.5000  6 Se 2.81-2.89
Se 0.1200 0.1200 0.4099  2 Dy 2.81, 1 Tb 2.84
Se 0.1381 0.6158 0.0859  2 Dy 2.83-2.85, 2 Tb 2.92-2.93
Se 0.3818 0.3818 0.5762  3 Dy 2.88-2.89, 1 Tb 2.92
Se 0.3842 0.8619 0.9141  2 Dy 2.83-2.85, 2 Tb 2.92-2.93
Se 0.6158 0.1381 0.0859  2 Dy 2.83-2.85, 2 Tb 2.92-2.93
Se 0.6182 0.6182 0.4238  3 Dy 2.88-2.89, 1 Tb 2.92
Se 0.8619 0.3842 0.9141  2 Dy 2.83-2.85, 2 Tb 2.92-2.93
Se 0.8800 0.8800 0.5901  2 Dy 2.81, 1 Tb 2.84

Calculated values
Symmetry: C2/m, No. 12


A relaxed Tb2DySe crystal, computed with PBE-GGA.

Unit cell a=3.6204 b=3.6204 c=8.4674 alpha=90.00 beta=90.00 gamma=90.00
Last column: nearest neighbours and their distance in Å.
Sites, in units of the cell vectors:
Tb 0.0000 0.0000 0.2089  4 Se 3.11
Tb 0.0000 0.0000 0.7911  4 Se 3.11
Dy 0.5000 0.5000 0.5000  8 Tb 3.55, 4 Dy 3.62
Se 0.5000 0.5000 0.0000  8 Tb 3.11

Calculated values
Symmetry: P4/mmm, No. 123


A relaxed Tb6DySe8 crystal, computed with PBE-GGA.

Unit cell a=8.1613 b=8.1613 c=8.1613 alpha=60.00 beta=60.00 gamma=60.00
Last column: nearest neighbours and their distance in Å.
Sites, in units of the cell vectors:
Tb 0.0000 0.0000 0.5000  6 Se 2.89
Tb 0.0000 0.5000 0.0000  6 Se 2.89
Tb 0.0000 0.5000 0.5000  6 Se 2.89
Tb 0.5000 0.0000 0.0000  6 Se 2.89
Tb 0.5000 0.0000 0.5000  6 Se 2.89
Tb 0.5000 0.5000 0.0000  6 Se 2.89
Dy 0.0000 0.0000 0.0000  6 Se 2.91
Se 0.2500 0.2500 0.2500  6 Tb 2.89
Se 0.2525 0.2525 0.7475  4 Tb 2.89, 1 Dy 2.91
Se 0.2525 0.7475 0.2525  4 Tb 2.89, 1 Dy 2.91
Se 0.2525 0.7475 0.7475  4 Tb 2.89, 1 Dy 2.91
Se 0.7475 0.2525 0.2525  4 Tb 2.89, 1 Dy 2.91
Se 0.7475 0.2525 0.7475  4 Tb 2.89, 1 Dy 2.91
Se 0.7475 0.7475 0.2525  4 Tb 2.89, 1 Dy 2.91
Se 0.7500 0.7500 0.7500  6 Tb 2.89

Calculated values
Symmetry: Fm-3m, No. 225


A relaxed Tb2DySe4 crystal, computed with PBE-GGA.

Unit cell a=7.8236 b=7.8236 c=7.1852 alpha=115.77 beta=115.77 gamma=30.47
Last column: nearest neighbours and their distance in Å.
Sites, in units of the cell vectors:
Tb 0.2332 0.2332 0.2234  6 Se 2.84-2.96
Tb 0.7668 0.7668 0.7766  6 Se 2.84-2.96
Dy 0.5000 0.5000 0.5000  6 Se 2.86-2.91
Se 0.1345 0.1345 0.4906  2 Dy 2.91, 3 Tb 2.91-2.96
Se 0.3777 0.3777 0.0588  3 Tb 2.84-2.91, 1 Dy 2.86
Se 0.6223 0.6223 0.9412  3 Tb 2.84-2.91, 1 Dy 2.86
Se 0.8655 0.8655 0.5094  2 Dy 2.91, 3 Tb 2.91-2.96

Calculated values
Symmetry: C2/m, No. 12


A relaxed TbDy3Se6 crystal, computed with PBE-GGA.

Unit cell a=11.5709 b=4.1040 c=11.8626 alpha=90.00 beta=109.08 gamma=90.00
Last column: nearest neighbours and their distance in Å.
Sites, in units of the cell vectors:
Tb 0.0437 0.2500 0.1920  8 Se 2.95-3.13
Tb 0.9563 0.7500 0.8080  8 Se 2.95-3.13
Dy 0.1591 0.2500 0.5830  6 Se 2.79-2.90
Dy 0.3174 0.7500 0.9981  7 Se 2.82-3.07
Dy 0.4322 0.2500 0.3323  6 Se 2.81-2.90
Dy 0.5678 0.7500 0.6677  6 Se 2.81-2.90
Dy 0.6826 0.2500 0.0019  7 Se 2.82-3.07
Dy 0.8409 0.7500 0.4170  6 Se 2.79-2.90
Se 0.0829 0.7500 0.4010  3 Dy 2.87-2.90, 2 Tb 3.13
Se 0.1113 0.2500 0.9648  3 Tb 2.95-3.04, 2 Dy 3.07
Se 0.1921 0.7500 0.7502  3 Dy 2.79-2.82, 1 Tb 3.02
Se 0.2532 0.7500 0.2227  3 Dy 2.90-2.99, 2 Tb 3.11
Se 0.3962 0.2500 0.5627  4 Dy 2.83-2.90
Se 0.4802 0.2500 0.1151  4 Dy 2.81-3.06
Se 0.5198 0.7500 0.8849  4 Dy 2.81-3.06
Se 0.6038 0.7500 0.4373  4 Dy 2.83-2.90
Se 0.7468 0.2500 0.7773  3 Dy 2.90-2.99, 2 Tb 3.11
Se 0.8079 0.2500 0.2498  3 Dy 2.79-2.82, 1 Tb 3.02
Se 0.8887 0.7500 0.0352  3 Tb 2.95-3.04, 2 Dy 3.07
Se 0.9171 0.2500 0.5990  3 Dy 2.87-2.90, 2 Tb 3.13

Calculated values
Symmetry: P2_1/m, No. 11


A relaxed TbDy4Se5 crystal, computed with PBE-GGA.

Unit cell a=14.7468 b=14.7468 c=14.7468 alpha=164.12 beta=164.12 gamma=22.53
Last column: nearest neighbours and their distance in Å.
Sites, in units of the cell vectors:
Tb 0.0000 0.0000 0.0000  6 Se 2.88-2.93
Dy 0.2029 0.2029 0.0000  6 Se 2.87-2.94
Dy 0.4019 0.4019 0.0000  6 Se 2.84-2.89
Dy 0.5981 0.5981 0.0000  6 Se 2.84-2.89
Dy 0.7971 0.7971 0.0000  6 Se 2.87-2.94
Se 0.1014 0.1014 0.0000  5 Dy 2.88-2.94, 1 Tb 2.93
Se 0.3020 0.3020 0.0000  6 Dy 2.87-2.89
Se 0.5000 0.5000 0.0000  2 Dy 2.84, 4 Tb 2.88
Se 0.6980 0.6980 0.0000  6 Dy 2.87-2.89
Se 0.8986 0.8986 0.0000  5 Dy 2.88-2.94, 1 Tb 2.93

Calculated values
Symmetry: I4/mmm, No. 139


A relaxed Tb2Dy2Se5 crystal, computed with PBE-GGA.

Unit cell a=8.9763 b=8.9763 c=7.4065 alpha=91.90 beta=91.90 gamma=25.37
Last column: nearest neighbours and their distance in Å.
Sites, in units of the cell vectors:
Tb 0.0276 0.0276 0.2801  7 Se 2.89-3.10
Tb 0.9724 0.9724 0.7199  7 Se 2.89-3.10
Dy 0.3417 0.3417 0.0921  5 Se 2.78-2.88
Dy 0.6583 0.6583 0.9079  5 Se 2.78-2.88
Se 0.1856 0.1856 0.1728  3 Dy 2.81-2.82, 1 Tb 2.91
Se 0.4099 0.4099 0.4361  1 Dy 2.78, 4 Tb 3.06-3.10
Se 0.5000 0.5000 0.0000  2 Dy 2.88, 4 Tb 2.89
Se 0.5901 0.5901 0.5639  1 Dy 2.78, 4 Tb 3.06-3.10
Se 0.8144 0.8144 0.8272  3 Dy 2.81-2.82, 1 Tb 2.91

Calculated values
Symmetry: C2/m, No. 12


A relaxed TbDy2Se crystal, computed with PBE-GGA.

Unit cell a=3.6126 b=3.6126 c=8.4499 alpha=90.00 beta=90.00 gamma=90.00
Last column: nearest neighbours and their distance in Å.
Sites, in units of the cell vectors:
Tb 0.0000 0.0000 0.0000  8 Dy 3.55, 4 Tb 3.61
Dy 0.5000 0.5000 0.2913  4 Se 3.10
Dy 0.5000 0.5000 0.7087  4 Se 3.10
Se 0.0000 0.0000 0.5000  8 Dy 3.10

Calculated values
Symmetry: P4/mmm, No. 123


A relaxed Tb2Dy3Se6 crystal, computed with PBE-GGA.

Unit cell a=7.0368 b=7.0368 c=7.0351 alpha=99.64 beta=99.64 gamma=119.77
Last column: nearest neighbours and their distance in Å.
Sites, in units of the cell vectors:
Tb 0.1650 0.8350 0.0000  6 Se 2.86-2.90
Tb 0.8350 0.1650 0.0000  6 Se 2.86-2.90
Dy 0.0000 0.0000 0.5000  6 Se 2.86-2.93
Dy 0.3346 0.6654 0.5000  6 Se 2.86-2.92
Dy 0.6654 0.3346 0.5000  6 Se 2.86-2.92
Se 0.0886 0.4173 0.7511  3 Dy 2.86-2.92, 2 Tb 2.89-2.90
Se 0.2551 0.2551 0.2458  3 Dy 2.86-2.93, 2 Tb 2.86
Se 0.4173 0.0886 0.7511  3 Dy 2.86-2.92, 2 Tb 2.89-2.90
Se 0.5827 0.9114 0.2489  3 Dy 2.86-2.92, 2 Tb 2.89-2.90
Se 0.7449 0.7449 0.7542  3 Dy 2.86-2.93, 2 Tb 2.86
Se 0.9114 0.5827 0.2489  3 Dy 2.86-2.92, 2 Tb 2.89-2.90

Calculated values
Symmetry: C2/m, No. 12


A relaxed TbDySe3 crystal, computed with PBE-GGA.

Unit cell a=8.0803 b=4.0523 c=8.1752 alpha=90.00 beta=94.70 gamma=90.00
Last column: nearest neighbours and their distance in Å.
Sites, in units of the cell vectors:
Tb 0.1163 0.2500 0.2690  8 Se 2.89-3.14
Tb 0.8837 0.7500 0.7310  8 Se 2.89-3.14
Dy 0.3559 0.7500 0.8183  6 Se 2.74-2.94
Dy 0.6441 0.2500 0.1817  6 Se 2.74-2.94
Se 0.1212 0.2500 0.8885  2 Dy 2.87, 3 Tb 3.01-3.11
Se 0.1793 0.7500 0.5180  1 Dy 2.74, 2 Tb 2.89
Se 0.3916 0.7500 0.1796  3 Dy 2.87-2.94, 2 Tb 3.14
Se 0.6084 0.2500 0.8204  3 Dy 2.87-2.94, 2 Tb 3.14
Se 0.8207 0.2500 0.4820  1 Dy 2.74, 2 Tb 2.89
Se 0.8788 0.7500 0.1115  2 Dy 2.87, 3 Tb 3.01-3.11

Calculated values
Symmetry: P2_1/m, No. 11


A relaxed Tb2DySe crystal, computed with PBE-GGA.

Unit cell a=9.6748 b=9.6748 c=9.6748 alpha=22.68 beta=22.68 gamma=22.68
Last column: nearest neighbours and their distance in Å.
Sites, in units of the cell vectors:
Tb 0.0000 0.0000 0.0000  3 Se 2.88
Tb 0.2016 0.2016 0.2016  3 Se 2.88
Dy 0.4335 0.4335 0.4335  6 Tb 3.58-3.61, 6 Dy 3.80
Se 0.6007 0.6007 0.6007  6 Tb 2.88

Calculated values
Symmetry: R3m, No. 160


Number 1: calculated total energy -73.22 eV/cell, ΔE_f (raw) -1.714 eV per atom. Number 2: calculated total energy -20.10 eV/cell, ΔE_f (raw) -0.688 eV per atom. Number 3: calculated total energy -87.96 eV/cell, ΔE_f (raw) -1.847 eV per atom. Number 4: calculated total energy -40.61 eV/cell, ΔE_f (raw) -1.830 eV per atom. Number 5: calculated total energy -116.07 eV/cell, ΔE_f (raw) -1.869 eV per atom. Number 6: calculated total energy -57.98 eV/cell, ΔE_f (raw) -1.751 eV per atom. Number 7: calculated total energy -50.92 eV/cell, ΔE_f (raw) -1.670 eV per atom. Number 8: calculated total energy -20.05 eV/cell, ΔE_f (raw) -0.683 eV per atom. Number 9: calculated total energy -64.53 eV/cell, ΔE_f (raw) -1.868 eV per atom. Number 10: calculated total energy -57.82 eV/cell, ΔE_f (raw) -1.844 eV per atom. Number 11: calculated total energy -20.59 eV/cell, ΔE_f (raw) -0.810 eV per atom.